## TaBeGa2O (PBE)

Data for a relaxed TaBeGa2O crystal.

N(E_F) (states/eV/f.u.): 3.0
Calculated total energy (eV per atom): -5.2885
ΔE_f (raw) (eV/atom): 0.030
Total moment (μB per cell): 0.00

Unit cell a=4.319 b=4.319 c=4.059 alpha=90.00 beta=90.00 gamma=90.00
Fractional positions:
Ta (0.000, 0.000, 0.000)
Be (0.500, 0.500, 0.000)
Ga (0.000, 0.500, 0.500)
Ga (0.500, 0.000, 0.500)
O (0.000, 0.000, 0.500)